BaHfSe2 | SCAN | single point on PBEsol structure

Mass density = 6.596 g cm⁻³
Size of the total moment = 0.00 μB per formula unit
Relative energy among the computed polymorphs = 0.0 kJ/mol of atoms

Geometry as CIF:
```
data_BaHfSe2
_chemical_formula_sum 'Ba3 Hf3 Se6'
_cell_length_a 3.8125
_cell_length_b 3.8125
_cell_length_c 28.4244
_cell_angle_alpha 90.00
_cell_angle_beta 90.00
_cell_angle_gamma 120.00
_symmetry_space_group_name_H-M 'R -3 m'
_symmetry_Int_Tables_number 166
_symmetry_space_group_name_Hall '-R 3 2"'
loop_
_atom_site_label
_atom_site_type_symbol
_atom_site_fract_x
_atom_site_fract_y
_atom_site_fract_z
_atom_site_occupancy
Ba1 Ba 0.0000 0.0000 0.0000 1
Hf1 Hf 0.0000 0.0000 0.5000 1
Se1 Se 0.0000 0.0000 0.1122 1
```